A plane-wave DFT calculation with PBE+U was carried out for a geometry-optimized RbSmWO5 structure.

Cell and atoms, written as extended XYZ:
```
16
Lattice="6.614 0.064 -0.054 -1.869 6.344 -0.054 -2.034 -2.747 7.648" Properties=species:S:1:pos:R:3 pbc="T T T"
Rb 0.339 3.646 1.858
Rb 2.372 0.015 5.682
Sm -1.017 -1.373 3.824
Sm 0.000 0.000 0.000
W 3.437 1.353 1.858
W -0.726 2.308 5.682
O -1.808 5.236 1.858
O 4.519 -1.574 5.682
O 4.947 1.624 0.874
O -2.237 2.037 6.666
O 3.618 -0.171 2.842
O -0.908 3.832 4.697
O 3.137 2.757 2.969
O -0.426 0.904 4.570
O 2.006 1.230 0.746
O 0.705 2.432 6.793
```

Summary:
Symmetry: C2/c
Uncorrected energy, eV/cell: -113.64